## LiZr2Te (PBE)

Data for a geometry-optimized LiZr2Te structure.

a = 3.6541 Å, b = 3.6906 Å, c = 7.2336 Å
α = 59.34°, β = 90.00°, γ = 90.00°
Atoms (fractional coordinates):
Te 0.5000 0.7500 0.7500
Zr 0.0000 0.5023 0.4975
Li 0.5000 0.2500 0.2500
Zr 0.0000 0.9977 0.0025

## Properties
**V**: 20.979 Å³/atom
**Uncorrected energy**: -23.23 eV per cell
**Formation energy from raw total energies**: -0.270 eV per atom